a | An optimized crystal structure of ReGeSeN2. Source: Alexandria via LeMat-Bulk, functional PBE.

Values from the calculation:
- SG = No. 123
- size of the total moment (μB per formula unit) = 0.00
- Fermi-level density of states (states/eV/cell) = 3.01

Cell and atoms, written as extended XYZ:
```
5
Lattice="3.881 0.000 0.000 0.000 3.881 0.000 0.000 0.000 5.388" Properties=species:S:1:pos:R:3 pbc="T T T"
Se 0.000 0.000 2.694
Ge 1.941 1.941 2.694
N 0.000 1.941 0.000
N 1.941 0.000 0.000
Re 0.000 0.000 0.000
```

***

b | An optimized crystal structure of ReGeSeN2. Source: Alexandria via LeMat-Bulk, functional PBE.

Values from the calculation:
- SG = No. 123
- size of the total moment (μB per formula unit) = 3.94
- Fermi-level density of states (states/eV/cell) = 3.46

Cell and atoms, written as extended XYZ:
```
5
Lattice="3.664 0.000 0.000 0.000 3.664 0.000 0.000 0.000 6.396" Properties=species:S:1:pos:R:3 pbc="T T T"
N 0.000 1.832 0.000
Se 0.000 0.000 3.198
N 1.832 0.000 0.000
Ge 0.000 0.000 0.000
Re 1.832 1.832 3.198
```

***

Most stable: a

***

a | An optimized crystal structure of ReGeTeN2. Source: Alexandria via LeMat-Bulk, functional PBE.

Values from the calculation:
- SG = No. 123
- size of the total moment (μB per formula unit) = 3.15
- Fermi-level density of states (states/eV/cell) = 5.34

Cell and atoms, written as extended XYZ:
```
5
Lattice="3.752 0.000 0.000 0.000 6.984 0.000 0.000 0.000 3.752" Properties=species:S:1:pos:R:3 pbc="T T T"
Ge 0.000 0.000 0.000
Te 0.000 3.492 0.000
N 1.876 0.000 0.000
Re 1.876 3.492 1.876
N 0.000 0.000 1.876
```

***

b | An optimized crystal structure of ReGeTeN2. Source: Alexandria via LeMat-Bulk, functional PBE.

Values from the calculation:
- SG = No. 123
- size of the total moment (μB per formula unit) = 0.09
- Fermi-level density of states (states/eV/cell) = 3.00

Cell and atoms, written as extended XYZ:
```
5
Lattice="3.939 0.000 0.000 0.000 3.939 0.000 0.000 0.000 5.673" Properties=species:S:1:pos:R:3 pbc="T T T"
N 1.969 0.000 0.000
Te 0.000 0.000 2.836
N 0.000 1.969 0.000
Re 0.000 0.000 0.000
Ge 1.969 1.969 2.836
```

***

Most stable: b

***

a | An optimized crystal structure of Ge2Rh2N. Source: Alexandria via LeMat-Bulk, functional PBE.

Values from the calculation:
- SG = No. 127
- size of the total moment (μB per formula unit) = 0.00
- Fermi-level density of states (states/eV/cell) = 6.90

Cell and atoms, written as extended XYZ:
```
10
Lattice="6.009 0.000 0.000 0.000 6.009 0.000 0.000 0.000 3.844" Properties=species:S:1:pos:R:3 pbc="T T T"
Rh 2.057 0.947 1.922
Rh 5.062 2.057 1.922
Rh 3.951 5.062 1.922
N 0.000 0.000 0.000
Rh 0.947 3.951 1.922
Ge 3.974 0.970 0.000
Ge 0.970 2.034 0.000
N 3.004 3.004 0.000
Ge 5.039 3.974 0.000
Ge 2.034 5.039 0.000
```

***

b | An optimized crystal structure of Ge2Rh2N. Source: Alexandria via LeMat-Bulk, functional PBE.

Values from the calculation:
- SG = No. 139
- size of the total moment (μB per formula unit) = 2.46
- Fermi-level density of states (states/eV/cell) = 1.78

Cell and atoms, written as extended XYZ:
```
5
Lattice="-3.237 2.468 -0.591 -1.115 -2.244 -3.263 -4.977 -2.845 1.064" Properties=species:S:1:pos:R:3 pbc="T T T"
Ge -6.469 -2.011 -1.593
Rh -4.134 -2.488 -2.063
Rh -5.195 -0.132 -0.727
Ge -2.860 -0.609 -1.197
N 0.000 0.000 0.000
```

***

Most stable: a